A relaxed structure of Ti2GaNi. Source: Alexandria via LeMat-Bulk, functional PBE-GGA.

formation energy	-0.263	eV/atom
M_tot	3.00	μB per formula unit
E_tot	-102.61	eV/cell

Geometry as CIF:
```
data_Ti2GaNi
_symmetry_space_group_name_H-M 'F -4 3 m'
_symmetry_Int_Tables_number 216
_symmetry_space_group_name_Hall 'F -4 2 3'
_cell_length_a 6.178
_cell_length_b 6.178
_cell_length_c 6.178
_cell_angle_alpha 90.00
_cell_angle_beta 90.00
_cell_angle_gamma 90.00
loop_
_atom_site_label
_atom_site_fract_x
_atom_site_fract_y
_atom_site_fract_z
_atom_site_occupancy
Ti1 0.000 0.000 0.000 1
Ti2 0.250 0.250 0.250 1
Ga1 0.250 0.250 0.750 1
Ni1 0.000 0.000 0.500 1
```